# 1
# V3HgS

A geometry-optimized V3HgS structure (PBE-GGA, Alexandria via LeMat-Bulk).

It has space group Pm-3m (No. 221), with a = 4.3537 Å, b = 4.3537 Å, c = 4.3537 Å, α = 90.00°, β = 90.00° and γ = 90.00°. Symmetry generates all atoms from V at (0.0000, 0.0000, 0.5000), Hg at (0.5000, 0.5000, 0.5000) and S at (0.0000, 0.0000, 0.0000).

For the formation energy (no corrections), the calculation gives 0.08 eV/atom. The value obtained for the mass density is 7.8 g cm⁻³.

***

# 2
# V3HgS

A geometry-optimized V3HgS structure (PBE-GGA, Alexandria via LeMat-Bulk).

It has space group Pm-3m (No. 221), with a = 4.9922 Å, b = 4.9922 Å, c = 4.9922 Å, α = 90.00°, β = 90.00° and γ = 90.00°. Symmetry generates all atoms from V at (0.0000, 0.0000, 0.5000), Hg at (0.0000, 0.0000, 0.0000) and S at (0.5000, 0.5000, 0.5000).

For the formation energy (no corrections), the calculation gives 1.67 eV/atom. The value obtained for the mass density is 5.1 g cm⁻³.

***

# 3
# VHg3S

A geometry-optimized VHg3S structure (PBE-GGA, Alexandria via LeMat-Bulk).

It has space group Pm-3m (No. 221), with a = 5.1823 Å, b = 5.1823 Å, c = 5.1823 Å, α = 90.00°, β = 90.00° and γ = 90.00°. Symmetry generates all atoms from V at (0.0000, 0.0000, 0.0000), Hg at (0.0000, 0.5000, 0.5000) and S at (0.5000, 0.5000, 0.5000).

For the formation energy (no corrections), the calculation gives 0.93 eV/atom. The value obtained for the mass density is 8.2 g cm⁻³.

***

# 4
# VHgS

A geometry-optimized VHgS structure (PBE-GGA, Alexandria via LeMat-Bulk).

It has space group Amm2 (No. 38), with a = 4.8780 Å, b = 3.0646 Å, c = 8.0903 Å, α = 90.00°, β = 90.00° and γ = 90.00°. Symmetry generates all atoms from V at (0.0000, 0.0000, 0.0000), Hg at (0.5000, 0.0000, 0.5472) and S at (0.0000, 0.0000, 0.2908).

For the formation energy (no corrections), the calculation gives -0.20 eV/atom. The value obtained for the mass density is 7.8 g cm⁻³.

***

- mass density of number 3 (VHg3S)?
  8.2 g cm⁻³

***

- Which value of formation energy (no corrections) does entry 3 give?
  0.93 eV/atom

***

- Among the records above, which one has the lowest formation energy (no corrections)?
  VHgS

***

- Look up the formation energy (no corrections) of the third one.
  0.93 eV/atom